(1)
# Ca5Ac2Mg, optimized geometry, DFT PBE
# Energy of formation from the pure elements, eV/atom: 0.03
data_Ca5Ac2Mg
_chemical_formula_sum 'Ca5 Ac2 Mg1'
_cell_length_a 11.540
_cell_length_b 11.540
_cell_length_c 11.540
_cell_angle_alpha 152.84
_cell_angle_beta 152.84
_cell_angle_gamma 38.79
_space_group_name_H-M_alt 'P 1'
_space_group_IT_number 1
loop_
_space_group_symop_operation_xyz
'x,y,z'
loop_
_atom_site_label
_atom_site_type_symbol
_atom_site_fract_x
_atom_site_fract_y
_atom_site_fract_z
Ca1 Ca 0.000 0.000 0.000
Ca2 Ca 0.117 0.617 0.500
Ca3 Ca 0.383 0.883 0.500
Ca4 Ca 0.617 0.117 0.500
Ca5 Ca 0.883 0.383 0.500
Ac1 Ac 0.250 0.250 0.000
Ac2 Ac 0.750 0.750 0.000
Mg1 Mg 0.500 0.500 0.000



(2)
# CaAc2Mg, optimized geometry, DFT PBE
# Energy of formation from the pure elements, eV/atom: 0.07
data_CaAc2Mg
_chemical_formula_sum 'Ca1 Ac2 Mg1'
_cell_length_a 12.337
_cell_length_b 12.337
_cell_length_c 12.337
_cell_angle_alpha 18.22
_cell_angle_beta 18.22
_cell_angle_gamma 18.22
_space_group_name_H-M_alt 'P 1'
_space_group_IT_number 1
loop_
_space_group_symop_operation_xyz
'x,y,z'
loop_
_atom_site_label
_atom_site_type_symbol
_atom_site_fract_x
_atom_site_fract_y
_atom_site_fract_z
Ca1 Ca 0.000 0.000 0.000
Ac1 Ac 0.577 0.577 0.577
Ac2 Ac 0.757 0.757 0.757
Mg1 Mg 0.167 0.167 0.167



(3)
# Ca3Ac2Mg3, optimized geometry, DFT PBE
# Energy of formation from the pure elements, eV/atom: -0.03
data_Ca3Ac2Mg3
_chemical_formula_sum 'Ca3 Ac2 Mg3'
_cell_length_a 10.145
_cell_length_b 10.145
_cell_length_c 10.145
_cell_angle_alpha 33.48
_cell_angle_beta 33.48
_cell_angle_gamma 33.48
_space_group_name_H-M_alt 'P 1'
_space_group_IT_number 1
loop_
_space_group_symop_operation_xyz
'x,y,z'
loop_
_atom_site_label
_atom_site_type_symbol
_atom_site_fract_x
_atom_site_fract_y
_atom_site_fract_z
Ca1 Ca 0.000 0.000 0.000
Ca2 Ca 0.129 0.129 0.129
Ca3 Ca 0.509 0.509 0.509
Ac1 Ac 0.259 0.259 0.259
Ac2 Ac 0.748 0.748 0.748
Mg1 Mg 0.383 0.383 0.383
Mg2 Mg 0.628 0.628 0.628
Mg3 Mg 0.874 0.874 0.874



(4)
# CaAc2Mg4, optimized geometry, DFT PBE
# Energy of formation from the pure elements, eV/atom: 0.43
data_CaAc2Mg4
_chemical_formula_sum 'Ca1 Ac2 Mg4'
_cell_length_a 9.539
_cell_length_b 9.539
_cell_length_c 9.539
_cell_angle_alpha 144.98
_cell_angle_beta 144.98
_cell_angle_gamma 50.37
_space_group_name_H-M_alt 'P 1'
_space_group_IT_number 1
loop_
_space_group_symop_operation_xyz
'x,y,z'
loop_
_atom_site_label
_atom_site_type_symbol
_atom_site_fract_x
_atom_site_fract_y
_atom_site_fract_z
Ca1 Ca 0.000 0.000 0.000
Ac1 Ac 0.386 0.386 0.000
Ac2 Ac 0.614 0.614 0.000
Mg1 Mg 0.000 0.500 0.500
Mg2 Mg 0.182 0.182 0.000
Mg3 Mg 0.500 0.000 0.500
Mg4 Mg 0.818 0.818 0.000



(5)
# CaAcMg, optimized geometry, DFT PBE
# Energy of formation from the pure elements, eV/atom: 0.11
data_CaAcMg
_chemical_formula_sum 'Ca2 Ac2 Mg2'
_cell_length_a 5.166
_cell_length_b 5.166
_cell_length_c 8.919
_cell_angle_alpha 90.00
_cell_angle_beta 90.00
_cell_angle_gamma 90.00
_space_group_name_H-M_alt 'P 1'
_space_group_IT_number 1
loop_
_space_group_symop_operation_xyz
'x,y,z'
loop_
_atom_site_label
_atom_site_type_symbol
_atom_site_fract_x
_atom_site_fract_y
_atom_site_fract_z
Ca1 Ca 0.250 0.250 0.150
Ca2 Ca 0.750 0.750 0.850
Ac1 Ac 0.250 0.750 0.500
Ac2 Ac 0.750 0.250 0.500
Mg1 Mg 0.250 0.250 0.769
Mg2 Mg 0.750 0.750 0.231



(6)
# Ca3AcMg8, optimized geometry, DFT PBE
# Energy of formation from the pure elements, eV/atom: -0.12
data_Ca3AcMg8
_chemical_formula_sum 'Ca3 Ac1 Mg8'
_cell_length_a 10.838
_cell_length_b 10.838
_cell_length_c 10.838
_cell_angle_alpha 33.57
_cell_angle_beta 33.57
_cell_angle_gamma 33.57
_space_group_name_H-M_alt 'P 1'
_space_group_IT_number 1
loop_
_space_group_symop_operation_xyz
'x,y,z'
loop_
_atom_site_label
_atom_site_type_symbol
_atom_site_fract_x
_atom_site_fract_y
_atom_site_fract_z
Ca1 Ca 0.000 0.000 0.000
Ca2 Ca 0.125 0.125 0.125
Ca3 Ca 0.498 0.498 0.498
Ac1 Ac 0.624 0.624 0.624
Mg1 Mg 0.062 0.062 0.560
Mg2 Mg 0.062 0.560 0.062
Mg3 Mg 0.063 0.562 0.562
Mg4 Mg 0.312 0.312 0.312
Mg5 Mg 0.560 0.062 0.062
Mg6 Mg 0.562 0.063 0.562
Mg7 Mg 0.562 0.562 0.063
Mg8 Mg 0.811 0.811 0.811



(7)
# Ca4AcMg, optimized geometry, DFT PBE
# Energy of formation from the pure elements, eV/atom: 0.00
data_Ca4AcMg
_chemical_formula_sum 'Ca4 Ac1 Mg1'
_cell_length_a 3.885
_cell_length_b 3.885
_cell_length_c 15.530
_cell_angle_alpha 90.00
_cell_angle_beta 90.00
_cell_angle_gamma 90.00
_space_group_name_H-M_alt 'P 1'
_space_group_IT_number 1
loop_
_space_group_symop_operation_xyz
'x,y,z'
loop_
_atom_site_label
_atom_site_type_symbol
_atom_site_fract_x
_atom_site_fract_y
_atom_site_fract_z
Ca1 Ca 0.000 0.000 0.132
Ca2 Ca 0.000 0.000 0.868
Ca3 Ca 0.500 0.500 0.315
Ca4 Ca 0.500 0.500 0.685
Ac1 Ac 0.000 0.000 0.500
Mg1 Mg 0.500 0.500 0.000



(8)
# CaAc3Mg2, optimized geometry, DFT PBE
# Energy of formation from the pure elements, eV/atom: -0.04
data_CaAc3Mg2
_chemical_formula_sum 'Ca1 Ac3 Mg2'
_cell_length_a 4.151
_cell_length_b 4.151
_cell_length_c 13.127
_cell_angle_alpha 90.00
_cell_angle_beta 90.00
_cell_angle_gamma 90.00
_space_group_name_H-M_alt 'P 1'
_space_group_IT_number 1
loop_
_space_group_symop_operation_xyz
'x,y,z'
loop_
_atom_site_label
_atom_site_type_symbol
_atom_site_fract_x
_atom_site_fract_y
_atom_site_fract_z
Ca1 Ca 0.000 0.000 0.000
Ac1 Ac 0.500 0.500 0.194
Ac2 Ac 0.500 0.500 0.500
Ac3 Ac 0.500 0.500 0.806
Mg1 Mg 0.000 0.000 0.345
Mg2 Mg 0.000 0.000 0.655



(9)
# Ca6Ac2Mg, optimized geometry, DFT PBE
# Energy of formation from the pure elements, eV/atom: 0.05
data_Ca6Ac2Mg
_chemical_formula_sum 'Ca6 Ac2 Mg1'
_cell_length_a 10.850
_cell_length_b 10.850
_cell_length_c 3.947
_cell_angle_alpha 94.50
_cell_angle_beta 94.50
_cell_angle_gamma 126.24
_space_group_name_H-M_alt 'P 1'
_space_group_IT_number 1
loop_
_space_group_symop_operation_xyz
'x,y,z'
loop_
_atom_site_label
_atom_site_type_symbol
_atom_site_fract_x
_atom_site_fract_y
_atom_site_fract_z
Ca1 Ca 0.009 0.668 0.671
Ca2 Ca 0.193 0.193 0.848
Ca3 Ca 0.332 0.991 0.329
Ca4 Ca 0.668 0.009 0.671
Ca5 Ca 0.807 0.807 0.152
Ca6 Ca 0.991 0.332 0.329
Ac1 Ac 0.350 0.650 0.000
Ac2 Ac 0.650 0.350 0.000
Mg1 Mg 0.500 0.500 0.500



(10)
# CaAc5Mg4, optimized geometry, DFT PBE
# Energy of formation from the pure elements, eV/atom: -0.06
data_CaAc5Mg4
_chemical_formula_sum 'Ca1 Ac5 Mg4'
_cell_length_a 4.140
_cell_length_b 4.140
_cell_length_c 21.341
_cell_angle_alpha 90.00
_cell_angle_beta 90.00
_cell_angle_gamma 90.00
_space_group_name_H-M_alt 'P 1'
_space_group_IT_number 1
loop_
_space_group_symop_operation_xyz
'x,y,z'
loop_
_atom_site_label
_atom_site_type_symbol
_atom_site_fract_x
_atom_site_fract_y
_atom_site_fract_z
Ca1 Ca 0.000 0.000 0.000
Ac1 Ac 0.500 0.500 0.119
Ac2 Ac 0.500 0.500 0.308
Ac3 Ac 0.500 0.500 0.500
Ac4 Ac 0.500 0.500 0.692
Ac5 Ac 0.500 0.500 0.881
Mg1 Mg 0.000 0.000 0.212
Mg2 Mg 0.000 0.000 0.404
Mg3 Mg 0.000 0.000 0.596
Mg4 Mg 0.000 0.000 0.788



(11)
# Ca14AcMg, optimized geometry, DFT PBE
# Energy of formation from the pure elements, eV/atom: 0.02
data_Ca14AcMg
_chemical_formula_sum 'Ca14 Ac1 Mg1'
_cell_length_a 7.837
_cell_length_b 7.837
_cell_length_c 10.631
_cell_angle_alpha 90.00
_cell_angle_beta 90.00
_cell_angle_gamma 90.08
_space_group_name_H-M_alt 'P 1'
_space_group_IT_number 1
loop_
_space_group_symop_operation_xyz
'x,y,z'
loop_
_atom_site_label
_atom_site_type_symbol
_atom_site_fract_x
_atom_site_fract_y
_atom_site_fract_z
Ca1 Ca 0.000 0.000 0.000
Ca2 Ca 0.000 0.500 0.000
Ca3 Ca 0.000 0.500 0.500
Ca4 Ca 0.244 0.244 0.257
Ca5 Ca 0.244 0.244 0.743
Ca6 Ca 0.245 0.755 0.256
Ca7 Ca 0.245 0.755 0.744
Ca8 Ca 0.500 0.000 0.000
Ca9 Ca 0.500 0.000 0.500
Ca10 Ca 0.500 0.500 0.000
Ca11 Ca 0.755 0.245 0.256
Ca12 Ca 0.755 0.245 0.744
Ca13 Ca 0.756 0.756 0.257
Ca14 Ca 0.756 0.756 0.743
Ac1 Ac 0.500 0.500 0.500
Mg1 Mg 0.000 0.000 0.500



(12)
# Ca3Ac2Mg4, optimized geometry, DFT PBE
# Energy of formation from the pure elements, eV/atom: 0.04
data_Ca3Ac2Mg4
_chemical_formula_sum 'Ca6 Ac4 Mg8'
_cell_length_a 10.929
_cell_length_b 10.929
_cell_length_c 8.799
_cell_angle_alpha 90.00
_cell_angle_beta 90.00
_cell_angle_gamma 142.63
_space_group_name_H-M_alt 'P 1'
_space_group_IT_number 1
loop_
_space_group_symop_operation_xyz
'x,y,z'
loop_
_atom_site_label
_atom_site_type_symbol
_atom_site_fract_x
_atom_site_fract_y
_atom_site_fract_z
Ca1 Ca 0.000 0.000 0.000
Ca2 Ca 0.006 0.494 0.250
Ca3 Ca 0.494 0.006 0.750
Ca4 Ca 0.500 0.500 0.500
Ca5 Ca 0.506 0.994 0.250
Ca6 Ca 0.994 0.506 0.750
Ac1 Ac 0.089 0.911 0.390
Ac2 Ac 0.411 0.589 0.890
Ac3 Ac 0.589 0.411 0.110
Ac4 Ac 0.911 0.089 0.610
Mg1 Mg 0.156 0.844 0.009
Mg2 Mg 0.169 0.331 0.250
Mg3 Mg 0.331 0.169 0.750
Mg4 Mg 0.344 0.656 0.509
Mg5 Mg 0.656 0.344 0.491
Mg6 Mg 0.669 0.831 0.250
Mg7 Mg 0.831 0.669 0.750
Mg8 Mg 0.844 0.156 0.991



| no. | calculated total energy (eV per atom) |
| --- | --- |
| 1 | -2.45 |
| 2 | -2.88 |
| 3 | -2.41 |
| 4 | -1.94 |
| 5 | -2.45 |
| 6 | -2.02 |
| 7 | -2.28 |
| 8 | -2.96 |
| 9 | -2.38 |
| 10 | -2.95 |
| 11 | -2.09 |
| 12 | -2.25 |